# 1
! PBE-GGA CaTc4O12, optimized geometry; values from VASP
&SYSTEM
  ibrav = 0, nat = 17, ntyp = 3
/
ATOMIC_SPECIES
O 16.00 O.upf
Tc 98.00 Tc.upf
Ca 40.08 Ca.upf
ATOMIC_POSITIONS angstrom
O 0.171 2.701 -0.244
O 1.515 0.298 4.366
O 0.545 1.365 2.039
O 0.547 4.045 2.035
O 2.908 2.703 2.384
O 2.532 1.360 0.105
O 1.564 5.106 -2.226
O 4.071 1.347 -2.088
O -0.992 4.058 4.227
O -2.100 4.045 0.175
O 5.179 1.360 1.965
O 2.534 4.039 0.100
Tc -1.529 2.702 -1.085
Tc -0.019 0.009 3.289
Tc 1.539 2.702 1.070
Tc 3.087 -0.009 -1.134
Ca -1.548 2.711 2.203
CELL_PARAMETERS angstrom
6.174 -0.019 -2.267
-3.057 5.404 -2.171
-0.038 0.019 6.577
! - Formation energy without anion corrections: -26.4 eV/f.u.
! - Symmetry: I4/mmm, No. 139
! - Total magnetic moment: 0.000 μB per atom

# 2
! PBE-GGA Tb7Tl3O2, optimized geometry; values from VASP
&SYSTEM
  ibrav = 0, nat = 12, ntyp = 3
/
ATOMIC_SPECIES
Tl 204.38 Tl.upf
Tb 158.93 Tb.upf
O 16.00 O.upf
ATOMIC_POSITIONS angstrom
Tl 4.206 2.914 6.086
Tl 0.573 2.509 5.208
Tl -2.200 2.151 1.400
Tb 3.647 2.905 9.430
Tb 2.389 0.372 7.393
Tb 5.761 0.744 7.913
Tb 0.000 0.000 0.000
Tb 2.893 0.373 3.974
Tb -0.478 0.002 3.454
Tb 1.132 2.517 1.864
O 3.851 0.561 9.400
O 1.432 0.185 1.967
CELL_PARAMETERS angstrom
-0.504 4.676 -0.073
-3.896 -0.375 2.872
9.179 1.121 8.495
! - Formation energy without anion corrections: -14.1 eV/f.u.
! - Symmetry: Cmmm, No. 65
! - Total magnetic moment: 0.000 μB per atom

# 3
! PBE-GGA Y3TiCl, optimized geometry; values from VASP
&SYSTEM
  ibrav = 0, nat = 5, ntyp = 3
/
ATOMIC_SPECIES
Y 88.91 Y.upf
Ti 47.87 Ti.upf
Cl 35.45 Cl.upf
ATOMIC_POSITIONS angstrom
Y 0.000 2.737 0.000
Y 0.000 0.000 2.737
Y 2.737 0.000 0.000
Ti 0.000 0.000 0.000
Cl 2.737 2.737 2.737
CELL_PARAMETERS angstrom
5.474 0.000 0.000
0.000 5.474 0.000
0.000 0.000 5.474
! - Formation energy without anion corrections: 1.8 eV/f.u.
! - ΔE to the lowest computed polymorph: 531 meV/atom
! - Symmetry: Pm-3m, No. 221
! - Total magnetic moment: 0.000 μB per atom

# 4
! PBE-GGA Zn2Ag2Au5, optimized geometry; values from VASP
&SYSTEM
  ibrav = 0, nat = 9, ntyp = 3
/
ATOMIC_SPECIES
Ag 107.87 Ag.upf
Au 196.97 Au.upf
Zn 65.41 Zn.upf
ATOMIC_POSITIONS angstrom
Ag 2.830 3.987 0.774
Ag 1.060 -0.055 2.918
Au 3.367 1.599 2.251
Au 1.836 3.636 -1.959
Au 0.523 2.332 1.440
Au 2.054 0.296 5.650
Au 0.000 0.000 0.000
Zn 2.434 1.394 -0.315
Zn 1.456 2.538 4.006
CELL_PARAMETERS angstrom
4.502 0.000 -1.636
-1.106 4.650 -3.043
0.494 -0.718 8.370
! - ΔE to the lowest computed polymorph: 0 meV/atom
! - Calculated formation energy: -0.539 eV/f.u.
! - Symmetry: C2/m, No. 12
! - Total magnetic moment: 0.000 μB per atom